The following is a DFT calculation (GGA-PBE) of an optimized crystal structure of Rb2TiIrF.

Cell lengths 6.893, 3.942, 6.893 Å; angles 90.00, 90.00, 90.00 degrees
Site moments in Bohr magnetons follow the coordinates.
Atoms (fractional coordinates):
F (0.000, 0.500, 0.000)  0.02
Ir (0.000, 0.000, 0.000)  0.04
Rb (0.000, 0.000, 0.500)  0.02
Rb (0.500, 0.000, 0.000)  0.02
Ti (0.500, 0.500, 0.500)  2.08

Results
space-group type: P4/mmm
formation energy from raw total energies: 0.735 eV/atom

=====

The following is a DFT calculation (GGA-PBE) of an optimized crystal structure of Rb2TlIrF6.

Cell lengths 6.580, 6.580, 6.580 Å; angles 60.00, 60.00, 60.00 degrees
Site moments in Bohr magnetons follow the coordinates.
Atoms (fractional coordinates):
Rb (0.750, 0.750, 0.750)  0.00
Rb (0.250, 0.250, 0.250)  0.00
Tl (0.500, 0.500, 0.500)  0.00
Ir (0.000, 0.000, 0.000)  0.16
F (0.781, 0.219, 0.219)  0.01
F (0.219, 0.219, 0.781)  0.01
F (0.219, 0.781, 0.781)  0.01
F (0.219, 0.781, 0.219)  0.01
F (0.781, 0.219, 0.781)  0.01
F (0.781, 0.781, 0.219)  0.01

Results
space-group type: Fm-3m
formation energy from raw total energies: -2.050 eV/atom
distance to the lowest polymorph of the same formula: 0.07 eV/f.u.

=====

Number 1: E -3.3770 eV per atom, calculated density 3.812 g/cm3, total moment 3.14 Bohr magnetons per cell. Number 2: E -4.4888 eV per atom, calculated density 5.617 g/cm3, total moment 0.20 Bohr magnetons per cell.